1.
A plane-wave DFT calculation with GGA-PBE was carried out for a relaxed K2SrAg2I6 crystal.

extended XYZ file:
```
11
Lattice="-0.842 -7.316 4.894 -2.175 -0.052 -8.440 8.428 0.083 1.575" Properties=species:S:1:pos:R:3 pbc="T T T"
K -0.145 -5.426 -0.148
K 5.556 -1.860 -1.824
Sr 3.793 -3.616 3.234
Ag 3.946 -6.924 -1.683
Ag 1.466 -0.362 -0.289
I 3.284 -5.381 0.510
I -0.553 -1.334 -6.075
I 6.385 -2.300 1.662
I 5.964 -5.951 4.104
I -0.973 -4.985 -3.633
I 2.128 -1.905 -2.481
```

The total energy is -2.764 eV per atom. The magnetic moment is 0.00 μB/f.u.


2.
A plane-wave DFT calculation with GGA-PBE was carried out for a relaxed SiSbTeHF crystal.

extended XYZ file:
```
5
Lattice="4.240 0.066 0.016 1.529 4.936 -0.039 1.053 1.399 6.572" Properties=species:S:1:pos:R:3 pbc="T T T"
Si 3.297 5.160 6.530
Sb 4.376 3.604 1.499
Te 3.904 1.027 2.684
H 1.741 1.501 5.796
F 3.475 3.941 5.455
```

The value obtained for the energy relative to the lowest polymorph listed for this composition is 0.0296 eV/atom. The magnetic moment is 0.00 μB/f.u.


3.
A plane-wave DFT calculation with GGA-PBE was carried out for a relaxed AgGe6As8 crystal.

extended XYZ file:
```
15
Lattice="6.987 -0.116 -0.120 -0.334 6.980 -0.120 -0.334 -0.344 6.972" Properties=species:S:1:pos:R:3 pbc="T T T"
Ag 0.000 0.000 0.000
Ge 4.225 2.182 5.664
Ge 2.049 5.523 4.471
Ge 5.457 4.397 2.363
Ge 2.095 4.338 1.069
Ge 4.270 0.996 2.262
Ge 0.863 2.122 4.370
As 4.434 4.575 4.724
As 1.885 1.945 2.009
As 4.168 5.837 0.797
As 5.704 0.656 4.371
As 0.478 4.185 5.860
As 2.152 0.683 5.936
As 0.615 5.863 2.362
As 5.841 2.335 0.873
```

The magnetic moment is 0.00 μB/f.u. Its formation energy is 0.0949 eV per atom.


Copy entry 2 word for word.
A plane-wave DFT calculation with GGA-PBE was carried out for a relaxed SiSbTeHF crystal.

extended XYZ file:
```
5
Lattice="4.240 0.066 0.016 1.529 4.936 -0.039 1.053 1.399 6.572" Properties=species:S:1:pos:R:3 pbc="T T T"
Si 3.297 5.160 6.530
Sb 4.376 3.604 1.499
Te 3.904 1.027 2.684
H 1.741 1.501 5.796
F 3.475 3.941 5.455
```

The value obtained for the energy relative to the lowest polymorph listed for this composition is 0.0296 eV/atom. The magnetic moment is 0.00 μB/f.u.